# 1
{"formula": "ErGaNi6", "functional": "GGA-PBE", "state": "relaxed", "lattice_angstrom": [[3.7510, 0.0000, 0.0000], [0.0000, 3.7510, 0.0000], [0.0000, 0.0000, 8.0606]], "species": ["Er", "Ga", "Ni", "Ni", "Ni", "Ni", "Ni", "Ni"], "fractional_positions": [[0.0000, 0.0000, 0.0000], [0.0000, 0.0000, 0.5000], [0.0000, 0.5000, 0.3168], [0.0000, 0.5000, 0.6832], [0.5000, 0.0000, 0.3168], [0.5000, 0.0000, 0.6832], [0.5000, 0.5000, 0.1393], [0.5000, 0.5000, 0.8607]], "delta_e_f_ev_per_atom": -0.13, "sg": "P4/mmm (123)", "final_energy_ev_per_atom": -5.41}

# 2
{"formula": "Er2Ga2Ni15", "functional": "GGA-PBE", "state": "relaxed", "lattice_angstrom": [[4.1498, 2.3959, 4.0835], [-4.1498, 2.3959, 4.0835], [0.0000, -4.7917, 4.0835]], "species": ["Er", "Er", "Ga", "Ga", "Ni", "Ni", "Ni", "Ni", "Ni", "Ni", "Ni", "Ni", "Ni", "Ni", "Ni", "Ni", "Ni", "Ni", "Ni"], "fractional_positions": [[0.1509, 0.1509, 0.1509], [0.8491, 0.8491, 0.8491], [0.3965, 0.3965, 0.3965], [0.6035, 0.6035, 0.6035], [0.0000, 0.5000, 0.5000], [0.1540, 0.1540, 0.6538], [0.1540, 0.6538, 0.1540], [0.2008, 0.5000, 0.7992], [0.2008, 0.7992, 0.5000], [0.3462, 0.8460, 0.8460], [0.5000, 0.0000, 0.5000], [0.5000, 0.2008, 0.7992], [0.5000, 0.5000, 0.0000], [0.5000, 0.7992, 0.2008], [0.6538, 0.1540, 0.1540], [0.7992, 0.2008, 0.5000], [0.7992, 0.5000, 0.2008], [0.8460, 0.3462, 0.8460], [0.8460, 0.8460, 0.3462]], "delta_e_f_ev_per_atom": -0.27, "sg": "R-3m (166)", "final_energy_ev_per_atom": -5.64}